Y2NiTe2 | SCAN | single point on PBEsol structure

Lattice parameters (Å, degrees): 4.1416 4.1416 15.6492 90.00 90.00 90.00
Last column: nearest neighbours and their distance in Å.
Space group I4/mmm (No. 139)
One atom of each set of equivalent atoms:
Y 0.0000 0.0000 0.0995 [4 per cell]  1 Y 3.11, 4 Te 3.14, 4 Ni 3.32
Ni 0.0000 0.0000 0.5000 [2 per cell]  8 Y 3.32
Te 0.0000 0.5000 0.2500 [4 per cell]  4 Te 2.93, 4 Y 3.14

Output
ΔE_f (raw) (meV/atom): -97